The following is a DFT calculation (PBE-GGA) of a relaxed structure of InRhW.

The density of states at the Fermi level comes out at 3.6 states/eV per cell.

The structure belongs to space group P3m1 (No. 156); the cell edges are 2.9370, 2.9370 and 6.8578 Å and the angles 90.00°, 90.00° and 120.00°. Symmetry generates all atoms from In at (0.0000, 0.0000, 0.0000), Rh at (0.3333, 0.6667, 0.3396) and W at (0.6667, 0.3333, 0.6370).

***

The following is a DFT calculation (PBE-GGA) of a relaxed structure of InRh2W.

The density of states at the Fermi level comes out at 4.4 states/eV per cell.

The structure belongs to space group Cmmm (No. 65); the cell edges are 5.910, 7.490 and 2.880 Å and the angles 90.00°, 90.00° and 90.00°. Symmetry generates all atoms from In at (0.000, 0.000, 0.000), Rh at (0.250, 0.250, 0.500) and W at (0.000, 0.500, 0.000).

***

The following is a DFT calculation (PBE-GGA) of a relaxed structure of InRh2W.

The density of states at the Fermi level comes out at 5.5 states/eV per cell.

The structure belongs to space group Cm (No. 8); the cell edges are 9.469, 2.887 and 4.777 Å and the angles 90.00°, 100.49° and 90.00°. Symmetry generates all atoms from In at (0.000, 0.000, 0.000), Rh at (0.249, 0.500, 0.189), Rh at (0.499, 0.000, 0.503) and W at (0.239, 0.000, 0.669).

***

The following is a DFT calculation (PBE-GGA) of a relaxed structure of InRhW2.

The density of states at the Fermi level comes out at 4.7 states/eV per cell.

The structure belongs to space group I-4m2 (No. 119); the cell edges are 4.157, 4.157 and 7.690 Å and the angles 90.00°, 90.00° and 90.00°. Symmetry generates all atoms from In at (0.000, 0.000, 0.000), Rh at (0.000, 0.500, 0.750), W at (0.000, 0.000, 0.500) and W at (0.000, 0.500, 0.250).

***

The following is a DFT calculation (PBE-GGA) of a relaxed structure of InRh2W.

The density of states at the Fermi level comes out at 2.4 states/eV per cell.

The structure belongs to space group P4/mmm (No. 123); the cell edges are 2.889, 2.889 and 7.660 Å and the angles 90.00°, 90.00° and 90.00°. Symmetry generates all atoms from In at (0.000, 0.000, 0.000), Rh at (0.500, 0.500, 0.266) and W at (0.000, 0.000, 0.500).

***

The following is a DFT calculation (PBE-GGA) of a relaxed structure of InRhW2.

The density of states at the Fermi level comes out at 4.4 states/eV per cell.

The structure belongs to space group Cm (No. 8); the cell edges are 9.446, 2.807 and 5.103 Å and the angles 90.00°, 98.99° and 90.00°. Symmetry generates all atoms from In at (0.000, 0.000, 0.000), Rh at (0.247, 0.000, 0.780), W at (0.021, 0.500, 0.506) and W at (0.262, 0.500, 0.291).

***

The following is a DFT calculation (PBE-GGA) of a relaxed structure of InRhW2.

The density of states at the Fermi level comes out at 3.9 states/eV per cell.

The structure belongs to space group C2/m (No. 12); the cell edges are 9.914, 2.968 and 4.629 Å and the angles 90.00°, 102.78° and 90.00°. Symmetry generates all atoms from In at (0.000, 0.000, 0.000), Rh at (0.000, 0.500, 0.500) and W at (0.242, 0.000, 0.737).

***

The following is a DFT calculation (PBE-GGA) of a relaxed structure of InRhW2.

The density of states at the Fermi level comes out at 11.1 states/eV per cell.

The structure belongs to space group I-42d (No. 122); the cell edges are 3.771, 3.771 and 20.146 Å and the angles 90.00°, 90.00° and 90.00°. Symmetry generates all atoms from In at (0.000, 0.000, 0.000), Rh at (0.000, 0.000, 0.500) and W at (0.246, 0.250, 0.125).

***

The following is a DFT calculation (PBE-GGA) of a relaxed structure of In2RhW.

The density of states at the Fermi level comes out at 27.9 states/eV per cell. Its energy above the most stable polymorph in this dataset is 304 meV per atom.

The structure belongs to space group Fm-3m (No. 225); the cell edges are 6.605, 6.605 and 6.605 Å and the angles 90.00°, 90.00° and 90.00°. Symmetry generates all atoms from In at (0.250, 0.250, 0.250), Rh at (0.000, 0.000, 0.000) and W at (0.000, 0.000, 0.500).

***

The following is a DFT calculation (PBE-GGA) of a relaxed structure of InRhW2.

The density of states at the Fermi level comes out at 11.5 states/eV per cell.

The structure belongs to space group R-3m (No. 166, hexagonal axes); the cell edges are 2.8721, 2.8721 and 28.1595 Å and the angles 90.00°, 90.00° and 120.00°. Symmetry generates all atoms from In at (0.0000, 0.0000, 0.0000), Rh at (0.0000, 0.0000, 0.5000) and W at (0.0000, 0.0000, 0.2446).

***

The following is a DFT calculation (PBE-GGA) of a relaxed structure of In4RhW.

The density of states at the Fermi level comes out at 25.4 states/eV per cell.

The structure belongs to space group F-43m (No. 216); the cell edges are 7.907, 7.907 and 7.907 Å and the angles 90.00°, 90.00° and 90.00°. Symmetry generates all atoms from In at (0.125, 0.125, 0.125), Rh at (0.250, 0.250, 0.750) and W at (0.000, 0.000, 0.500).

***

The following is a DFT calculation (PBE-GGA) of a relaxed structure of In2RhW.

The density of states at the Fermi level comes out at 4.0 states/eV per cell. Its energy above the most stable polymorph in this dataset is 313 meV per atom.

The structure belongs to space group Pmmm (No. 47); the cell edges are 3.016, 4.726 and 5.148 Å and the angles 90.00°, 90.00° and 90.00°. Symmetry generates all atoms from In at (0.000, 0.000, 0.000), In at (0.500, 0.000, 0.500), Rh at (0.000, 0.500, 0.500) and W at (0.500, 0.500, 0.000).

***

The following is a DFT calculation (PBE-GGA) of a relaxed structure of InRhW2.

The density of states at the Fermi level comes out at 1.8 states/eV per cell.

The structure belongs to space group P4mm (No. 99); the cell edges are 2.849, 2.849 and 8.239 Å and the angles 90.00°, 90.00° and 90.00°. Symmetry generates all atoms from In at (0.000, 0.000, 0.000), Rh at (0.500, 0.500, 0.253), W at (0.000, 0.000, 0.467) and W at (0.500, 0.500, 0.725).

***

The following is a DFT calculation (PBE-GGA) of a relaxed structure of InRhW2.

The density of states at the Fermi level comes out at 3.2 states/eV per cell.

The structure belongs to space group Pmmm (No. 47); the cell edges are 2.797, 4.354 and 5.424 Å and the angles 90.00°, 90.00° and 90.00°. Symmetry generates all atoms from In at (0.000, 0.000, 0.000), Rh at (0.000, 0.000, 0.500) and W at (0.500, 0.500, 0.257).

***

The following is a DFT calculation (PBE-GGA) of a relaxed structure of InRh2W.

The density of states at the Fermi level comes out at 13.2 states/eV per cell.

The structure belongs to space group R3m (No. 160, hexagonal axes); the cell edges are 2.8824, 2.8824 and 27.1772 Å and the angles 90.00°, 90.00° and 120.00°. Symmetry generates all atoms from In at (0.0000, 0.0000, 0.0000), Rh at (0.0000, 0.0000, 0.2517), Rh at (0.0000, 0.0000, 0.5009) and W at (0.0000, 0.0000, 0.7583).

***

The following is a DFT calculation (PBE-GGA) of a relaxed structure of InRh3W.

The density of states at the Fermi level comes out at 5.8 states/eV per cell. Its energy above the most stable polymorph in this dataset is 0 meV per atom.

The structure belongs to space group Pm-3m (No. 221); the cell edges are 4.733, 4.733 and 4.733 Å and the angles 90.00°, 90.00° and 90.00°. Symmetry generates all atoms from In at (0.000, 0.000, 0.000), Rh at (0.000, 0.500, 0.500) and W at (0.500, 0.500, 0.500).

***

The following is a DFT calculation (PBE-GGA) of a relaxed structure of InRhW2.

The density of states at the Fermi level comes out at 2.8 states/eV per cell.

The structure belongs to space group P4/mmm (No. 123); the cell edges are 2.810, 2.810 and 8.420 Å and the angles 90.00°, 90.00° and 90.00°. Symmetry generates all atoms from In at (0.000, 0.000, 0.000), Rh at (0.000, 0.000, 0.500) and W at (0.500, 0.500, 0.270).

***

The following is a DFT calculation (PBE-GGA) of a relaxed structure of InRh2W.

The density of states at the Fermi level comes out at 5.2 states/eV per cell.

The structure belongs to space group P4/mmm (No. 123); the cell edges are 4.195, 4.195 and 3.682 Å and the angles 90.00°, 90.00° and 90.00°. Symmetry generates all atoms from In at (0.000, 0.000, 0.000), Rh at (0.000, 0.500, 0.500) and W at (0.500, 0.500, 0.000).

***

The following is a DFT calculation (PBE-GGA) of a relaxed structure of In2RhW.

The density of states at the Fermi level comes out at 3.4 states/eV per cell. Its energy above the most stable polymorph in this dataset is 248 meV per atom.

The structure belongs to space group P2/m (No. 10); the cell edges are 2.925, 4.492 and 5.563 Å and the angles 90.00°, 96.65° and 90.00°. Symmetry generates all atoms from In at (0.180, 0.000, 0.253), Rh at (0.000, 0.500, 0.500) and W at (0.500, 0.500, 0.000).

***

The following is a DFT calculation (PBE-GGA) of a relaxed structure of In2RhW.

The density of states at the Fermi level comes out at 6.8 states/eV per cell. Its energy above the most stable polymorph in this dataset is 66 meV per atom.

The structure belongs to space group R3m (No. 160, hexagonal axes); the cell edges are 3.0093, 3.0093 and 28.5603 Å and the angles 90.00°, 90.00° and 120.00°. Symmetry generates all atoms from In at (0.0000, 0.0000, 0.0000), In at (0.0000, 0.0000, 0.2368), Rh at (0.0000, 0.0000, 0.4895) and W at (0.0000, 0.0000, 0.7523).

***

| no. | formation enthalpy at 0 K (eV/atom) | electronic total energy (eV/cell) |
| --- | --- | --- |
| 1 | 0.18 | -22.49 |
| 2 | -0.06 | -61.30 |
| 3 | -0.07 | -61.31 |
| 4 | 0.31 | -69.49 |
| 5 | -0.26 | -31.43 |
| 6 | 0.29 | -69.69 |
| 7 | 0.19 | -70.49 |
| 8 | 0.68 | -133.09 |
| 9 | 0.43 | -96.30 |
| 10 | 0.35 | -103.77 |
| 11 | 1.00 | -101.06 |
| 12 | 0.44 | -24.04 |
| 13 | 0.13 | -35.48 |
| 14 | 0.28 | -34.86 |
| 15 | 0.15 | -89.38 |
| 16 | 0.89 | -33.29 |
| 17 | 0.29 | -34.84 |
| 18 | 0.16 | -29.77 |
| 19 | 0.37 | -24.30 |
| 20 | 0.19 | -75.07 |